DFT (PBE-GGA) results for crystalline Sr4TeAu at its relaxed geometry.

Calculated values
Space-group type ... F-43m, No. 216
E_form (uncorrected) ... 99 meV per atom

Lattice parameters (Å, degrees): 7.0479 7.0479 7.0479 60.00 60.00 60.00
Closest atoms and distances in Å follow each position.
Positions (direct):
Sr (0.3754, 0.3754, 0.8739)  6 Sr 3.51-3.53
Sr (0.8739, 0.3754, 0.3754)  6 Sr 3.51-3.53
Sr (0.3754, 0.8739, 0.3754)  6 Sr 3.51-3.53
Sr (0.3754, 0.3754, 0.3754)  6 Sr 3.51-3.53
Au (0.0000, 0.0000, 0.0000)  12 Sr 4.13, 4 Te 4.32
Te (0.7500, 0.7500, 0.7500)  12 Sr 4.13, 4 Au 4.32

DFT (PBE-GGA) results for crystalline Sr2UTe5Au at its relaxed geometry.

Calculated values
Space-group type ... Cmc2_1, No. 36
E_form (uncorrected) ... -979 meV per atom

Lattice parameters (Å, degrees): 4.4185 10.1073 13.6815 90.00 90.00 102.63
Closest atoms and distances in Å follow each position.
Positions (direct):
Te (0.7033, 0.4066, 0.8608)  1 Au 2.81, 2 U 3.08
Te (0.7015, 0.4031, 0.1705)  2 U 3.05
Te (0.5004, 0.0008, 0.2603)  1 Au 2.75
Te (0.2985, 0.5969, 0.6705)  2 U 3.05
Te (0.9549, 0.9098, 0.5474)  2 Au 2.75, 1 U 2.99
Te (0.4996, 0.9992, 0.7603)  1 Au 2.75
Te (0.2967, 0.5934, 0.3608)  1 Au 2.81, 2 U 3.08
Te (0.3493, 0.6986, 0.0116)  1 U 3.04, 2 Sr 3.39
Te (0.6507, 0.3014, 0.5116)  1 U 3.04, 2 Sr 3.39
Te (0.0451, 0.0902, 0.0474)  2 Au 2.75, 1 U 2.99
Sr (0.1174, 0.2348, 0.6934)  7 Te 3.33-3.61
Sr (0.1152, 0.2303, 0.3292)  7 Te 3.30-3.61
Sr (0.8848, 0.7697, 0.8292)  7 Te 3.30-3.61
Sr (0.8826, 0.7652, 0.1934)  7 Te 3.33-3.61
Au (0.5704, 0.1407, 0.9337)  4 Te 2.75-2.81
Au (0.4296, 0.8593, 0.4337)  4 Te 2.75-2.81
U (0.8047, 0.6095, 0.5171)  6 Te 2.99-3.08
U (0.1953, 0.3905, 0.0171)  6 Te 2.99-3.08

DFT (PBE-GGA) results for crystalline SrV2TeAu at its relaxed geometry.

Calculated values
Space-group type ... P4/mmm, No. 123
E_form (uncorrected) ... 579 meV per atom

Lattice parameters (Å, degrees): 5.0139 5.8771 5.0139 90.00 90.00 90.00
Closest atoms and distances in Å follow each position.
Positions (direct):
Au (0.0000, 0.0000, 0.0000)  4 V 2.51
Te (0.0000, 0.5000, 0.0000)  2 Au 2.94
Sr (0.5000, 0.5000, 0.5000)  4 Te 3.55, 8 V 3.86
V (0.0000, 0.0000, 0.5000)  2 Au 2.51
V (0.5000, 0.0000, 0.0000)  2 Au 2.51

DFT (PBE-GGA) results for crystalline SrTh2Au6 at its relaxed geometry.

Calculated values
Space-group type ... Immm, No. 71
Electronic total energy ... -41.94 eV per formula unit

Lattice parameters (Å, degrees): 3.9435 8.6134 8.6134 53.24 76.77 76.77
Closest atoms and distances in Å follow each position.
Positions (direct):
Th (0.1408, 0.3592, 0.3592)  10 Au 3.09-3.20
Th (0.8592, 0.6408, 0.6408)  10 Au 3.09-3.20
Au (0.5000, 0.3182, 0.6818)  3 Au 2.81-2.82
Au (0.3221, 0.3719, 0.9838)  4 Au 2.82-3.04, 3 Th 3.09-3.13
Au (0.6779, 0.6281, 0.0162)  4 Au 2.82-3.04, 3 Th 3.09-3.13
Au (0.6779, 0.0162, 0.6281)  4 Au 2.82-3.04, 3 Th 3.09-3.13
Au (0.5000, 0.6818, 0.3182)  3 Au 2.81-2.82
Au (0.3221, 0.9838, 0.3719)  4 Au 2.82-3.04, 3 Th 3.09-3.13
Sr (0.0000, 0.0000, 0.0000)  4 Au 3.15

no.,Fermi-level density of states (states/eV per cell),total magnetic moment (μB per formula unit)
1,5.2,0.000
2,12.4,1.499
3,8.7,6.876
4,6.6,0.000